(i)
ZrTlAgSeS2: optimized geometry, GGA-PBE.

Output
- Space group: No. 11
- Total magnetic moment: 0.00 μB/f.u.

Cell and atoms, written as POSCAR:
```
ZrTlAgSeS2
1.0
8.106 0.000 0.000
0.000 3.859 0.000
-3.365 0.000 9.427
Ag S Se Tl Zr
2 4 2 2 2
Cartesian
2.231 2.894 3.666 Ag
2.510 0.965 5.761 Ag
7.322 2.894 1.184 S
2.759 2.894 1.227 S
1.982 0.965 8.200 S
-2.580 0.965 8.242 S
0.336 0.965 4.026 Se
4.406 2.894 5.400 Se
5.238 0.965 2.738 Tl
-0.496 2.894 6.689 Tl
1.032 0.965 1.412 Zr
3.710 2.894 8.014 Zr
```

(ii)
ZrTlAgSeS2: optimized geometry, GGA-PBE.

Output
- Space group: No. 63
- Total magnetic moment: 0.01 μB/f.u.

Cell and atoms, written as POSCAR:
```
ZrTlAgSeS2
1.0
1.918 -7.302 0.000
1.918 7.302 0.000
0.000 0.000 10.453
Ag S Se Tl Zr
2 4 2 2 2
Cartesian
1.918 6.483 2.613 Ag
1.918 -6.483 7.839 Ag
1.918 5.546 0.337 S
1.918 5.546 4.889 S
1.918 -5.546 5.564 S
1.918 -5.546 10.115 S
1.918 1.042 2.613 Se
1.918 -1.042 7.839 Se
1.918 -3.663 2.613 Tl
1.918 3.663 7.839 Tl
1.918 0.000 0.000 Zr
1.918 0.000 5.226 Zr
```

Least stable structure: (ii)

(i)
Sm2AgS3: optimized geometry, GGA-PBE.

Output
- Space group: No. 62
- Total magnetic moment: 0.01 μB/f.u.

Cell and atoms, written as POSCAR:
```
Sm2AgS3
1.0
-0.261 5.667 -8.667
-3.797 0.752 0.606
3.231 10.739 6.924
Ag S Sm
4 12 8
Cartesian
-2.144 4.395 0.110 Ag
-2.185 7.525 -4.032 Ag
1.359 9.633 2.896 Ag
1.318 12.763 -1.246 Ag
-2.627 3.893 -2.290 S
-2.512 1.951 0.835 S
-0.689 5.849 -5.241 S
0.153 5.381 0.618 S
-1.720 7.852 -1.521 S
-1.791 9.937 -4.554 S
0.964 7.221 3.417 S
0.893 9.305 0.384 S
-0.980 11.776 -1.754 S
-0.138 11.309 4.104 S
1.686 15.206 -1.972 S
1.800 13.265 1.154 S
-0.946 1.604 -1.584 Sm
-0.290 5.504 -2.313 Sm
-0.373 8.494 -6.545 Sm
0.420 9.410 -2.711 Sm
-1.247 7.747 1.574 Sm
-0.454 8.663 5.408 Sm
-0.537 11.654 1.176 Sm
0.119 15.553 0.447 Sm
```

(ii)
Sm2AgS3: optimized geometry, GGA-PBE.

Output
- Space group: No. 164
- Total magnetic moment: 0.00 μB/f.u.

Cell and atoms, written as POSCAR:
```
Sm2AgS3
1.0
-3.946 -0.745 -0.398
2.605 -1.400 -2.745
1.014 -8.094 5.091
Ag S Sm
1 3 2
Cartesian
0.507 -4.047 2.546 Ag
0.000 0.000 0.000 S
-1.424 -3.663 0.517 S
1.097 -6.577 1.430 S
0.597 -2.587 -1.079 Sm
-0.924 -7.653 3.027 Sm
```

Least stable structure: (i)

(i)
SmAgSnS3: optimized geometry, GGA-PBE.

Output
- Space group: No. 62
- Total magnetic moment: 0.00 μB/f.u.

Cell and atoms, written as POSCAR:
```
SmAgSnS3
1.0
13.120 0.000 0.000
0.000 4.104 0.000
0.000 0.000 11.153
Ag S Sm Sn
4 12 4 4
Cartesian
0.293 3.078 0.991 Ag
6.853 3.078 4.585 Ag
6.267 1.026 6.568 Ag
12.827 1.026 10.162 Ag
5.076 3.078 0.642 S
11.704 1.026 1.386 S
8.415 3.078 2.563 S
1.854 3.078 3.014 S
5.144 1.026 4.191 S
11.636 3.078 4.934 S
1.484 1.026 6.219 S
7.977 3.078 6.962 S
11.266 1.026 8.139 S
4.706 1.026 8.590 S
1.416 3.078 9.767 S
8.044 1.026 10.511 S
6.680 1.026 1.815 Sm
0.120 1.026 3.762 Sm
13.000 3.078 7.391 Sm
6.440 3.078 9.338 Sm
9.911 3.078 0.381 Sn
3.350 3.078 5.196 Sn
9.770 1.026 5.957 Sn
3.210 1.026 10.772 Sn
```

(ii)
SmAgSnS3: optimized geometry, GGA-PBE.

Output
- Space group: No. 12
- Total magnetic moment: 0.00 μB/f.u.

Cell and atoms, written as POSCAR:
```
SmAgSnS3
1.0
8.783 -1.984 0.000
8.783 1.984 0.000
-2.060 0.000 8.085
Ag S Sm Sn
2 6 2 2
Cartesian
7.716 0.000 2.307 Ag
7.789 0.000 5.778 Ag
8.783 0.000 0.000 S
5.241 0.000 1.358 S
11.061 0.000 2.859 S
-1.030 0.000 4.042 S
4.444 0.000 5.226 S
10.264 0.000 6.727 S
13.835 0.000 3.298 Sm
1.670 0.000 4.786 Sm
2.151 0.000 0.608 Sn
13.354 0.000 7.477 Sn
```

(iii)
SmAgSnS3: optimized geometry, GGA-PBE.

Output
- Space group: No. 62
- Total magnetic moment: 0.00 μB/f.u.

Cell and atoms, written as POSCAR:
```
SmAgSnS3
1.0
-4.876 3.994 -5.742
-3.209 -2.252 1.158
-3.976 11.525 11.393
Ag S Sm Sn
4 12 4 4
Cartesian
-3.345 0.021 1.595 Ag
-6.865 5.155 1.825 Ag
-5.196 8.112 4.984 Ag
-8.717 13.245 5.214 Ag
-4.405 0.389 -0.627 S
-5.664 4.261 -3.796 S
-6.436 3.459 -0.285 S
-4.210 2.074 3.191 S
-4.403 5.677 2.449 S
-8.407 6.918 0.983 S
-3.654 6.348 5.827 S
-7.658 7.589 4.361 S
-7.852 11.192 3.618 S
-5.625 9.807 7.094 S
-6.398 9.005 10.606 S
-7.656 12.877 7.436 S
-6.002 1.723 -2.458 Sm
-5.103 4.187 4.823 Sm
-6.958 9.080 1.986 Sm
-6.059 11.544 9.267 Sm
-3.464 3.624 1.057 Sn
-5.960 5.788 -1.648 Sn
-6.101 7.478 8.457 Sn
-8.597 9.642 5.752 Sn
```

Least stable structure: (ii)

(i)
SmAgSnS3: optimized geometry, GGA-PBE.

Output
- Space group: No. 62
- Total magnetic moment: 0.00 μB/f.u.

Cell and atoms, written as POSCAR:
```
SmAgSnS3
1.0
10.619 0.000 0.000
0.000 4.099 0.000
0.000 0.000 13.039
Ag S Sm Sn
4 12 4 4
Cartesian
8.125 1.025 2.870 Ag
2.815 1.025 3.650 Ag
7.804 3.075 9.390 Ag
2.494 3.075 10.169 Ag
6.171 1.025 1.344 S
10.241 1.025 1.470 S
2.742 3.075 2.057 S
8.052 3.075 4.463 S
4.932 1.025 5.050 S
0.861 1.025 5.175 S
9.758 3.075 7.864 S
5.687 3.075 7.989 S
2.567 1.025 8.576 S
7.877 1.025 10.982 S
0.378 3.075 11.569 S
4.448 3.075 11.695 S
5.519 3.075 3.011 Sm
0.209 3.075 3.509 Sm
10.410 1.025 9.530 Sm
5.100 1.025 10.028 Sm
2.034 1.025 0.138 Sn
7.344 1.025 6.381 Sn
3.276 3.075 6.658 Sn
8.585 3.075 12.901 Sn
```

(ii)
SmAgSnS3: optimized geometry, GGA-PBE.

Output
- Space group: No. 11
- Total magnetic moment: 0.00 μB/f.u.

Cell and atoms, written as POSCAR:
```
SmAgSnS3
1.0
7.491 0.000 0.000
0.000 4.075 0.000
-2.457 0.000 9.420
Ag S Sm Sn
2 6 2 2
Cartesian
4.395 1.019 0.802 Ag
0.639 3.056 8.618 Ag
5.923 3.056 0.464 S
3.199 1.019 3.017 S
-0.420 1.019 3.377 S
5.454 3.056 6.043 S
1.835 3.056 6.403 S
-0.889 1.019 8.956 S
5.025 3.056 3.299 Sm
0.009 1.019 6.121 Sm
1.003 3.056 1.790 Sn
4.031 1.019 7.631 Sn
```

(iii)
SmAgSnS3: optimized geometry, GGA-PBE.

Output
- Space group: No. 63
- Total magnetic moment: 0.00 μB/f.u.

Cell and atoms, written as POSCAR:
```
SmAgSnS3
1.0
4.035 0.000 0.000
2.018 6.540 0.000
0.000 0.000 10.559
Ag S Sm Sn
2 6 2 2
Cartesian
2.018 0.436 2.640 Ag
4.035 6.104 7.919 Ag
2.018 1.884 0.615 S
2.018 5.321 2.640 S
2.018 1.884 4.664 S
4.035 4.656 5.895 S
4.035 1.219 7.919 S
4.035 4.656 9.943 S
0.000 0.000 0.000 Sm
0.000 0.000 5.279 Sm
4.035 3.260 2.640 Sn
2.018 3.280 7.919 Sn
```

(iv)
SmAgSnS3: optimized geometry, GGA-PBE.

Output
- Space group: No. 62
- Total magnetic moment: 0.00 μB/f.u.

Cell and atoms, written as POSCAR:
```
SmAgSnS3
1.0
11.924 0.000 0.000
0.000 4.050 0.000
0.000 0.000 12.447
Ag S Sm Sn
4 12 4 4
Cartesian
9.552 0.000 1.348 Ag
3.590 0.000 4.875 Ag
8.333 2.025 7.572 Ag
2.371 2.025 11.098 Ag
7.235 0.000 0.618 S
11.758 0.000 2.328 S
2.977 2.025 2.536 S
8.939 2.025 3.687 S
5.797 0.000 3.895 S
1.273 0.000 5.606 S
10.650 2.025 6.841 S
6.127 2.025 8.551 S
2.984 0.000 8.760 S
8.946 0.000 9.910 S
0.165 2.025 10.119 S
4.689 2.025 11.829 S
5.839 2.025 1.938 Sm
11.801 2.025 4.285 Sm
0.123 0.000 8.161 Sm
6.084 0.000 10.509 Sm
2.077 0.000 1.012 Sn
8.039 0.000 5.211 Sn
3.884 2.025 7.236 Sn
9.846 2.025 11.434 Sn
```

Least stable structure: (iii)